{
  "formula": "HoNpAu4",
  "functional": "PBE-GGA",
  "state": "relaxed",
  "dos_at_fermi_per_ev_fu": 9.05,
  "magnetic_moment_mub_per_fu": 4.11,
  "delta_e_f_mev_per_atom": -508.5,
  "lattice_angstrom": [[3.744, 0.000, 0.000], [0.000, 3.744, 0.000], [0.000, 0.000, 9.236]],
  "species": ["Ho", "Np", "Au", "Au", "Au", "Au"],
  "frac_coords": [[0.000, 0.000, 0.000], [0.500, 0.500, 0.500], [0.000, 0.000, 0.328], [0.000, 0.000, 0.672], [0.500, 0.500, 0.161], [0.500, 0.500, 0.839]]
}